Entry from the Alexandria database: a geometry-optimized CoIrPd structure (PBE).

```
CoIrPd
1.0
-1.3553 1.3553 5.6067
1.3553 -1.3553 5.6067
1.3553 1.3553 -5.6067
Co Ir Pd
1 1 1
Direct
0.0000 0.0000 0.0000 Co
0.3501 0.3501 0.0000 Ir
0.6664 0.6664 0.0000 Pd
```

Properties
* density of states at the Fermi level: 1.424 states/eV per atom
* E: -6.966 eV per atom
* formation enthalpy at 0 K: 8.46 kJ/mol of atoms
* size of the total moment: 0.782 μB/atom
* space group: I4mm (107)
* energy above the most stable polymorph in this dataset: 27 meV per atom